# VOF | Alexandria via LeMat-Bulk | PBE with a Hubbard U | relaxed
data_VOF
_chemical_formula_sum 'V4 O4 F4'
_cell_length_a 10.056
_cell_length_b 3.314
_cell_length_c 3.775
_cell_angle_alpha 90.00
_cell_angle_beta 90.00
_cell_angle_gamma 90.00
_space_group_name_H-M_alt 'P n m a'
_space_group_IT_number 62
loop_
_space_group_symop_operation_xyz
'x,y,z'
'-x,-y,-z'
'-x+1/2,-y,z+1/2'
'x+1/2,y,-z+1/2'
'x+1/2,-y+1/2,-z+1/2'
'-x+1/2,y+1/2,z+1/2'
'-x,y+1/2,-z'
'x,-y+1/2,z'
loop_
_atom_site_label
_atom_site_fract_x
_atom_site_fract_y
_atom_site_fract_z
V1 0.101 0.250 0.236
O1 0.021 0.250 0.743
F1 0.222 0.750 0.068
# **Total magnetization**: 8.0 μB/cell
# **E**: -7.161 eV/atom
# **Calculated volume**: 126 Å³ per cell